This record from the Alexandria database describes crystalline Tb8DyMg2 at its relaxed geometry. The functional is PBE.

Cell lengths 16.622, 5.322, 8.386 Å; angles 90.00, 115.12, 90.00 degrees
Space group C2/m (No. 12)
One atom of each set of equivalent atoms:
Tb 0.056 0.000 0.235 (multiplicity 4)
Tb 0.100 0.500 0.969 (multiplicity 4)
Tb 0.147 0.000 0.703 (multiplicity 4)
Tb 0.187 0.500 0.451 (multiplicity 4)
Dy 0.000 0.500 0.500 (multiplicity 2)
Mg 0.226 0.000 0.128 (multiplicity 4)

The formation energy is 0.34 kcal/mol of atoms.

This record from the Alexandria database describes crystalline Cs3AcBr8 at its relaxed geometry. The functional is PBE.

Cell lengths 8.188, 8.188, 16.908 Å; angles 90.00, 90.00, 90.00 degrees
Space group I4/mmm (No. 139)
One atom of each set of equivalent atoms:
Cs 0.000 0.000 0.000 (multiplicity 2)
Cs 0.000 0.500 0.250 (multiplicity 4)
Ac 0.000 0.000 0.500 (multiplicity 2)
Br 0.220 0.220 0.389 (multiplicity 16)

For the formation energy from raw total energies, the calculation gives -1474 meV per atom.

This record from the Alexandria database describes crystalline ScCd3Au12 at its relaxed geometry. The functional is PBE.

Cell lengths 4.219, 4.219, 16.721 Å; angles 90.00, 90.00, 90.00 degrees
Space group P4/mmm (No. 123)
One atom of each set of equivalent atoms:
Sc 0.000 0.000 0.000 (multiplicity 1)
Cd 0.000 0.000 0.250 (multiplicity 2)
Cd 0.000 0.000 0.500 (multiplicity 1)
Au 0.000 0.500 0.122 (multiplicity 4)
Au 0.000 0.500 0.374 (multiplicity 4)
Au 0.500 0.500 0.000 (multiplicity 1)
Au 0.500 0.500 0.248 (multiplicity 2)
Au 0.500 0.500 0.500 (multiplicity 1)

The formation energy is -5.14 kcal/mol of atoms.

This record from the Alexandria database describes crystalline Ac7Ge4Ir at its relaxed geometry. The functional is PBE.

Cell lengths 14.818, 4.496, 13.274 Å; angles 90.00, 106.62, 90.00 degrees
Space group Cm (No. 8)
One atom of each set of equivalent atoms:
Ac 0.000 0.000 0.000 (multiplicity 2)
Ac 0.032 0.500 0.276 (multiplicity 2)
Ac 0.094 0.500 0.582 (multiplicity 2)
Ac 0.214 0.000 0.852 (multiplicity 2)
Ac 0.252 0.500 0.143 (multiplicity 2)
Ac 0.293 0.000 0.413 (multiplicity 2)
Ac 0.412 0.500 0.684 (multiplicity 2)
Ge 0.057 0.500 0.832 (multiplicity 2)
Ge 0.254 0.000 0.634 (multiplicity 2)
Ge 0.373 0.000 0.064 (multiplicity 2)
Ge 0.450 0.500 0.429 (multiplicity 2)
Ir 0.142 0.000 0.208 (multiplicity 2)

The formation energy is -13.60 kcal/mol of atoms.

Number 1: DOS(E_F) 1.394 states/eV/atom. Number 2: DOS(E_F) 1.447 states/eV/atom. Number 3: DOS(E_F) 0.373 states/eV/atom. Number 4: DOS(E_F) 0.825 states/eV/atom.